Density functional theory data (GGA-PBE) for KPm2P2N6 after structural relaxation.

ρ: 3.96 g/cm³
Formation energy from raw total energies: -0.700 eV per atom

Cell and atoms, written as CIF:
```
data_KPm2P2N6
_chemical_formula_sum 'K1 Pm2 P2 N6'
_space_group_name_H-M_alt 'P -1'
_space_group_IT_number 2
_cell_length_a 6.104
_cell_length_b 6.403
_cell_length_c 6.458
_cell_angle_alpha 96.80
_cell_angle_beta 115.05
_cell_angle_gamma 112.43
loop_
_space_group_symop_operation_xyz
'x,y,z'
'-x,-y,-z'
loop_
_atom_site_label
_atom_site_type_symbol
_atom_site_fract_x
_atom_site_fract_y
_atom_site_fract_z
K1 K 0.000 0.000 0.000
Pm1 Pm 0.368 0.297 0.672
P1 P 0.294 0.738 0.715
N1 N 0.127 0.879 0.645
N2 N 0.305 0.604 0.908
N3 N 0.460 0.706 0.591
```



Density functional theory data (GGA-PBE) for GdDyCl2 after structural relaxation.

ρ: 6.24 g/cm³
Formation energy from raw total energies: -1.259 eV per atom

Cell and atoms, written as CIF:
```
data_GdDyCl2
_chemical_formula_sum 'Gd3 Dy3 Cl6'
_space_group_name_H-M_alt 'R -3 m'
_space_group_IT_number 166
_space_group_name_Hall '-R 3 2"'
_cell_length_a 3.5434
_cell_length_b 3.5434
_cell_length_c 28.7016
_cell_angle_alpha 90.00
_cell_angle_beta 90.00
_cell_angle_gamma 120.00
loop_
_atom_site_label
_atom_site_type_symbol
_atom_site_fract_x
_atom_site_fract_y
_atom_site_fract_z
Gd1 Gd 0.0000 0.0000 0.0000
Dy1 Dy 0.0000 0.0000 0.5000
Cl1 Cl 0.0000 0.0000 0.0983
```



Density functional theory data (GGA-PBE) for SrCa2Ac9 after structural relaxation.

ρ: 6.85 g/cm³
Calculated formation energy: 40 meV per atom

Cell and atoms, written as CIF:
```
data_SrCa2Ac9
_chemical_formula_sum 'Sr1 Ca2 Ac9'
_space_group_name_H-M_alt 'P 4/m m m'
_space_group_IT_number 123
_space_group_name_Hall '-P 4 2'
_cell_length_a 5.630
_cell_length_b 5.630
_cell_length_c 16.916
_cell_angle_alpha 90.00
_cell_angle_beta 90.00
_cell_angle_gamma 90.00
loop_
_atom_site_label
_atom_site_type_symbol
_atom_site_fract_x
_atom_site_fract_y
_atom_site_fract_z
Sr1 Sr 0.000 0.000 0.000
Ca1 Ca 0.000 0.000 0.335
Ac1 Ac 0.000 0.500 0.171
Ac2 Ac 0.000 0.500 0.500
Ac3 Ac 0.500 0.500 0.000
Ac4 Ac 0.500 0.500 0.336
```



Density functional theory data (GGA-PBE) for AcScTe2S after structural relaxation.

ρ: 5.97 g/cm³
Formation energy from raw total energies: -1.439 eV per atom

Cell and atoms, written as CIF:
```
data_AcScTe2S
_chemical_formula_sum 'Ac2 Sc2 Te4 S2'
_space_group_name_H-M_alt 'P 4/n m m'
_space_group_IT_number 129
_cell_length_a 4.516
_cell_length_b 4.516
_cell_length_c 15.261
_cell_angle_alpha 90.00
_cell_angle_beta 90.00
_cell_angle_gamma 90.00
loop_
_space_group_symop_operation_xyz
'x,y,z'
'-x,-y,-z'
'-y+1/2,x,z'
'y+1/2,-x,-z'
'-x+1/2,-y+1/2,z'
'x+1/2,y+1/2,-z'
'y,-x+1/2,z'
'-y,x+1/2,-z'
'x+1/2,-y,-z'
'-x+1/2,y,z'
'-y,-x,-z'
'y,x,z'
'-x,y+1/2,-z'
'x,-y+1/2,z'
'y+1/2,x+1/2,-z'
'-y+1/2,-x+1/2,z'
loop_
_atom_site_label
_atom_site_type_symbol
_atom_site_fract_x
_atom_site_fract_y
_atom_site_fract_z
Ac1 Ac 0.250 0.250 0.118
Sc1 Sc 0.250 0.250 0.598
Te1 Te 0.250 0.250 0.406
Te2 Te 0.250 0.250 0.779
S1 S 0.250 0.750 0.000
```



Density functional theory data (GGA-PBE) for Hf3Pd after structural relaxation.

ρ: 13.27 g/cm³
E above lowest polymorph: 176 meV/atom
Calculated formation energy: -186 meV per atom

Cell and atoms, written as CIF:
```
data_Hf3Pd
_chemical_formula_sum 'Hf6 Pd2'
_space_group_name_H-M_alt 'I 4/m m m'
_space_group_IT_number 139
_space_group_name_Hall '-I 4 2'
_cell_length_a 4.131
_cell_length_b 4.131
_cell_length_c 9.419
_cell_angle_alpha 90.00
_cell_angle_beta 90.00
_cell_angle_gamma 90.00
loop_
_atom_site_label
_atom_site_type_symbol
_atom_site_fract_x
_atom_site_fract_y
_atom_site_fract_z
Hf1 Hf 0.000 0.000 0.000
Hf2 Hf 0.000 0.500 0.250
Pd1 Pd 0.000 0.000 0.500
```



Density functional theory data (GGA-PBE) for Ce2TaCo9 after structural relaxation.

ρ: 10.28 g/cm³
Calculated formation energy: -94 meV per atom

Cell and atoms, written as CIF:
```
data_Ce2TaCo9
_chemical_formula_sum 'Ce6 Ta3 Co27'
_space_group_name_H-M_alt 'R -3 m'
_space_group_IT_number 166
_space_group_name_Hall '-R 3 2"'
_cell_length_a 4.7484
_cell_length_b 4.7484
_cell_length_c 24.6049
_cell_angle_alpha 90.00
_cell_angle_beta 90.00
_cell_angle_gamma 120.00
loop_
_atom_site_label
_atom_site_type_symbol
_atom_site_fract_x
_atom_site_fract_y
_atom_site_fract_z
Ce1 Ce 0.0000 0.0000 0.1379
Ta1 Ta 0.0000 0.0000 0.0000
Co1 Co 0.0000 0.0000 0.3332
Co2 Co 0.0000 0.0000 0.5000
Co3 Co 0.0005 0.5003 0.0777
```